This record from Alexandria describes an optimized crystal structure of CsCeI3. The functional is GGA-PBE.

a b c (Å): 7.173 8.869 8.870
angles (deg): 120.00 90.00 90.00
Each line ends with the local moment (μB).
Fractional coordinates of all 10 atoms:
Ce1 0.000 0.000 0.000  1.22
Ce2 0.500 0.000 0.000  1.22
Cs1 0.750 0.667 0.333  0.00
Cs2 0.250 0.333 0.667  0.00
I1 0.250 0.825 0.175  -0.01
I2 0.750 0.651 0.825  -0.01
I3 0.250 0.825 0.651  -0.01
I4 0.250 0.349 0.175  -0.01
I5 0.750 0.175 0.349  -0.01
I6 0.750 0.175 0.825  -0.01

## Properties
* magnetization: 1.4 μB/f.u.
* E_form (uncorrected): -1.3578 eV/atom
* SG: No. 194
* total energy: -3.645 eV per atom

This record from Alexandria describes an optimized crystal structure of LiMg2Tc. The functional is GGA-PBE.

a b c (Å): 5.436 5.436 5.436
angles (deg): 148.90 126.94 62.79
Fractional coordinates of all 4 atoms:
Tc1 0.750 0.250 0.500
Mg1 0.010 0.010 0.000
Mg2 0.490 0.490 0.000
Li1 0.250 0.750 0.500

## Properties
* energy of formation: 330.6 meV per atom
* magnetization: 0.0 μB/f.u.
* SG: No. 71
* total energy: -3.537 eV per atom

This record from Alexandria describes an optimized crystal structure of Cs3Na2PrI9. The functional is GGA-PBE.

a b c (Å): 8.739 8.739 11.173
angles (deg): 90.00 90.00 120.00
Each line ends with the local moment (μB).
Fractional coordinates of all 15 atoms:
I1 0.833 0.666 0.664  0.01
I2 0.666 0.833 0.336  0.01
I3 0.334 0.167 0.664  0.01
I4 0.833 0.167 0.664  0.01
I5 0.500 0.500 0.000  0.10
I6 0.167 0.334 0.336  0.01
I7 0.500 0.000 0.000  0.10
I8 0.167 0.833 0.336  0.01
I9 0.000 0.500 0.000  0.10
Cs1 0.333 0.667 0.686  0.00
Cs2 0.667 0.333 0.314  0.00
Cs3 0.000 0.000 0.000  0.00
Na1 0.667 0.333 0.836  0.00
Na2 0.333 0.667 0.164  0.00
Pr1 0.000 0.000 0.500  0.00

## Properties
* magnetization: 0.5 μB/f.u.
* E_form (uncorrected): -1.2873 eV/atom
* SG: No. 164
* total energy: -2.883 eV per atom

This record from Alexandria describes an optimized crystal structure of K4LiCl5. The functional is GGA-PBE.

a b c (Å): 4.320 4.320 18.141
angles (deg): 83.16 83.16 60.00
Fractional coordinates of all 10 atoms:
K1 0.106 0.106 0.682
K2 0.894 0.894 0.318
K3 0.702 0.702 0.894
K4 0.298 0.298 0.106
Cl1 0.595 0.595 0.214
Cl2 0.191 0.191 0.426
Cl3 0.405 0.405 0.786
Cl4 0.000 0.000 0.000
Cl5 0.809 0.809 0.574
Li1 0.500 0.500 0.500

## Properties
* magnetization: 0.0 μB/f.u.
* E_form (uncorrected): -1.8854 eV/atom
* SG: No. 166
* total energy: -3.439 eV per atom

This record from Alexandria describes an optimized crystal structure of CaTl2P. The functional is GGA-PBE.

a b c (Å): 5.287 5.287 5.287
angles (deg): 60.00 60.00 60.00
Fractional coordinates of all 4 atoms:
Tl1 0.250 0.250 0.250
Tl2 0.000 0.000 0.000
P1 0.750 0.750 0.750
Ca1 0.500 0.500 0.500

## Properties
* energy of formation: -125.5 meV per atom
* magnetization: 0.0 μB/f.u.
* SG: No. 216
* total energy: -3.161 eV per atom

This record from Alexandria describes an optimized crystal structure of TiTcAsSe2. The functional is GGA-PBE.

a b c (Å): 4.876 4.876 4.949
angles (deg): 90.00 90.00 90.00
Each line ends with the local moment (μB).
Fractional coordinates of all 5 atoms:
Se1 0.000 0.500 0.000  -0.03
Se2 0.500 0.000 0.000  -0.03
As1 0.000 0.000 0.500  -0.10
Ti1 0.000 0.000 0.000  0.23
Tc1 0.500 0.500 0.500  3.67

## Properties
* magnetization: 4.2 μB/f.u.
* E_form (uncorrected): 0.4911 eV/atom
* SG: No. 123
* total energy: -5.485 eV per atom